(1)
# Na2CeNpTe4, optimized geometry, DFT PBE
# Raw formation energy: -1035 meV/atom
# Space-group type: P2/m, No. 10
# DOS at the Fermi energy: 1.64 states/eV/atom
# Density: 5.767 g/cm3
# Crystal system: monoclinic
data_Na2CeNpTe4
_cell_length_a 7.8751
_cell_length_b 4.5493
_cell_length_c 7.9540
_cell_angle_alpha 90.00
_cell_angle_beta 109.39
_cell_angle_gamma 90.00
_space_group_name_H-M_alt 'P 1'
_space_group_IT_number 1
_space_group_name_Hall 'P 1'
loop_
_atom_site_label
_atom_site_fract_x
_atom_site_fract_y
_atom_site_fract_z
Na1 0.0000 0.0000 0.0000
Na2 0.5000 0.5000 0.0000
Ce1 0.0000 0.5000 0.5000
Np1 0.5000 0.0000 0.5000
Te1 0.2480 0.0000 0.7389
Te2 0.2572 0.5000 0.2641
Te3 0.7428 0.5000 0.7359
Te4 0.7520 0.0000 0.2611


(2)
# NaCeO, optimized geometry, DFT PBE
# Raw formation energy: -1598 meV/atom
# Space-group type: P3m1, No. 156
# DOS at the Fermi energy: 1.81 states/eV/atom
# Density: 3.392 g/cm3
# Crystal system: trigonal
data_NaCeO
_cell_length_a 3.8642
_cell_length_b 3.8642
_cell_length_c 6.7808
_cell_angle_alpha 90.00
_cell_angle_beta 90.00
_cell_angle_gamma 120.00
_space_group_name_H-M_alt 'P 1'
_space_group_IT_number 1
_space_group_name_Hall 'P 1'
loop_
_atom_site_label
_atom_site_fract_x
_atom_site_fract_y
_atom_site_fract_z
Na1 0.0000 0.0000 0.0000
Ce1 0.6667 0.3333 0.4874
O1 0.3333 0.6667 0.5307


(3)
# Na3CeO4, optimized geometry, DFT PBE
# Raw formation energy: -1909 meV/atom
# Space-group type: R3m, No. 160
# DOS at the Fermi energy: 0.65 states/eV/atom
# Density: 4.362 g/cm3
# Crystal system: trigonal
data_Na3CeO4
_cell_length_a 4.7463
_cell_length_b 4.7463
_cell_length_c 4.7463
_cell_angle_alpha 97.44
_cell_angle_beta 97.44
_cell_angle_gamma 97.44
_space_group_name_H-M_alt 'P 1'
_space_group_IT_number 1
_space_group_name_Hall 'P 1'
loop_
_atom_site_label
_atom_site_fract_x
_atom_site_fract_y
_atom_site_fract_z
Na1 0.0493 0.4754 0.4754
Na2 0.4754 0.0493 0.4754
Na3 0.4754 0.4754 0.0493
Ce1 0.9291 0.9291 0.9291
O1 0.4097 0.9705 0.9705
O2 0.5828 0.5828 0.5828
O3 0.9705 0.4097 0.9705
O4 0.9705 0.9705 0.4097


(4)
# Na5CeO5, optimized geometry, DFT PBE
# Raw formation energy: -1859 meV/atom
# Space-group type: C2/m, No. 12
# DOS at the Fermi energy: 0.62 states/eV/atom
# Density: 3.363 g/cm3
# Crystal system: monoclinic
data_Na5CeO5
_cell_length_a 6.0400
_cell_length_b 6.0400
_cell_length_c 6.6945
_cell_angle_alpha 106.95
_cell_angle_beta 106.95
_cell_angle_gamma 45.57
_space_group_name_H-M_alt 'P 1'
_space_group_IT_number 1
_space_group_name_Hall 'P 1'
loop_
_atom_site_label
_atom_site_fract_x
_atom_site_fract_y
_atom_site_fract_z
Na1 0.0000 0.0000 0.0000
Na2 0.3025 0.3025 0.1701
Na3 0.3198 0.3198 0.6422
Na4 0.6802 0.6802 0.3578
Na5 0.6975 0.6975 0.8299
Ce1 0.0000 0.0000 0.5000
O1 0.1406 0.1406 0.3330
O2 0.1529 0.1529 0.8122
O3 0.5000 0.5000 0.5000
O4 0.8471 0.8471 0.1878
O5 0.8594 0.8594 0.6670


(5)
# Na5Ce3O8, optimized geometry, DFT PBE
# Raw formation energy: -2517 meV/atom
# Space-group type: R-3m, No. 166
# DOS at the Fermi energy: 0.46 states/eV/atom
# Density: 4.604 g/cm3
# Crystal system: trigonal
data_Na5Ce3O8
_cell_length_a 6.8890
_cell_length_b 6.8890
_cell_length_c 6.8890
_cell_angle_alpha 61.55
_cell_angle_beta 61.55
_cell_angle_gamma 61.55
_space_group_name_H-M_alt 'P 1'
_space_group_IT_number 1
_space_group_name_Hall 'P 1'
loop_
_atom_site_label
_atom_site_fract_x
_atom_site_fract_y
_atom_site_fract_z
Na1 0.0000 0.0000 0.0000
Na2 0.0000 0.5000 0.5000
Na3 0.5000 0.0000 0.5000
Na4 0.5000 0.5000 0.0000
Na5 0.5000 0.5000 0.5000
Ce1 0.0000 0.0000 0.5000
Ce2 0.0000 0.5000 0.0000
Ce3 0.5000 0.0000 0.0000
O1 0.2115 0.7504 0.7504
O2 0.2405 0.2405 0.2405
O3 0.2496 0.2496 0.7885
O4 0.2496 0.7885 0.2496
O5 0.7504 0.2115 0.7504
O6 0.7504 0.7504 0.2115
O7 0.7595 0.7595 0.7595
O8 0.7885 0.2496 0.2496


(6)
# NaCe2OsO8, optimized geometry, DFT PBE
# Raw formation energy: -2187 meV/atom
# Space-group type: P2/m, No. 10
# DOS at the Fermi energy: 0.43 states/eV/atom
# Density: 5.829 g/cm3
# Crystal system: monoclinic
data_NaCe2OsO8
_cell_length_a 4.9985
_cell_length_b 7.0784
_cell_length_c 5.0067
_cell_angle_alpha 90.00
_cell_angle_beta 91.93
_cell_angle_gamma 90.00
_space_group_name_H-M_alt 'P 1'
_space_group_IT_number 1
_space_group_name_Hall 'P 1'
loop_
_atom_site_label
_atom_site_fract_x
_atom_site_fract_y
_atom_site_fract_z
Na1 0.0000 0.0000 0.0000
Ce1 0.5000 0.2443 0.5000
Ce2 0.5000 0.7557 0.5000
Os1 0.0000 0.5000 0.0000
O1 0.1828 0.3113 0.8185
O2 0.1828 0.6887 0.8185
O3 0.2829 0.5000 0.2842
O4 0.3171 0.0000 0.3186
O5 0.6829 0.0000 0.6814
O6 0.7171 0.5000 0.7158
O7 0.8172 0.3113 0.1815
O8 0.8172 0.6887 0.1815


(7)
# NaCeOs2O8, optimized geometry, DFT PBE
# Raw formation energy: -1543 meV/atom
# Space-group type: I-4, No. 82
# DOS at the Fermi energy: 0.53 states/eV/atom
# Density: 6.818 g/cm3
# Crystal system: tetragonal
data_NaCeOs2O8
_cell_length_a 6.8846
_cell_length_b 6.8846
_cell_length_c 6.8846
_cell_angle_alpha 134.47
_cell_angle_beta 134.47
_cell_angle_gamma 66.35
_space_group_name_H-M_alt 'P 1'
_space_group_IT_number 1
_space_group_name_Hall 'P 1'
loop_
_atom_site_label
_atom_site_fract_x
_atom_site_fract_y
_atom_site_fract_z
Na1 0.0000 0.0000 0.0000
Ce1 0.2500 0.7500 0.5000
Os1 0.5000 0.5000 0.0000
Os2 0.7500 0.2500 0.5000
O1 0.2663 0.6715 0.0955
O2 0.3285 0.4240 0.5948
O3 0.4275 0.0010 0.0756
O4 0.5760 0.1708 0.9045
O5 0.6480 0.5725 0.5734
O6 0.8292 0.7337 0.4052
O7 0.9254 0.3520 0.9244
O8 0.9990 0.0746 0.4266


(8)
# NaCePa2O8, optimized geometry, DFT PBE
# Raw formation energy: -3147 meV/atom
# Space-group type: I-4m2, No. 119
# DOS at the Fermi energy: 0.68 states/eV/atom
# Density: 7.845 g/cm3
# Crystal system: tetragonal
data_NaCePa2O8
_cell_length_a 6.6208
_cell_length_b 6.6208
_cell_length_c 6.6208
_cell_angle_alpha 131.50
_cell_angle_beta 131.50
_cell_angle_gamma 71.02
_space_group_name_H-M_alt 'P 1'
_space_group_IT_number 1
_space_group_name_Hall 'P 1'
loop_
_atom_site_label
_atom_site_fract_x
_atom_site_fract_y
_atom_site_fract_z
Na1 0.0000 0.0000 0.0000
Ce1 0.2500 0.7500 0.5000
Pa1 0.5000 0.5000 0.0000
Pa2 0.7500 0.2500 0.5000
O1 0.1296 0.1387 0.5256
O2 0.1296 0.6040 0.9908
O3 0.3960 0.3868 0.5256
O4 0.3960 0.8704 0.0092
O5 0.6132 0.1387 0.0092
O6 0.6132 0.6040 0.4744
O7 0.8613 0.3868 0.9908
O8 0.8613 0.8704 0.4744


(9)
# NaCePaO6, optimized geometry, DFT PBE
# Raw formation energy: -2525 meV/atom
# Space-group type: P312, No. 149
# DOS at the Fermi energy: 1.23 states/eV/atom
# Density: 5.976 g/cm3
# Crystal system: trigonal
data_NaCePaO6
_cell_length_a 5.6472
_cell_length_b 5.6472
_cell_length_c 4.9314
_cell_angle_alpha 90.00
_cell_angle_beta 90.00
_cell_angle_gamma 120.00
_space_group_name_H-M_alt 'P 1'
_space_group_IT_number 1
_space_group_name_Hall 'P 1'
loop_
_atom_site_label
_atom_site_fract_x
_atom_site_fract_y
_atom_site_fract_z
Na1 0.0000 0.0000 0.0000
Ce1 0.3333 0.6667 0.0000
Pa1 0.6667 0.3333 0.5000
O1 0.3658 0.0113 0.2512
O2 0.3658 0.3545 0.7488
O3 0.6455 0.0113 0.7488
O4 0.6455 0.6342 0.2512
O5 0.9887 0.3545 0.2512
O6 0.9887 0.6342 0.7488


(10)
# NaCe2PdO5, optimized geometry, DFT PBE
# Raw formation energy: -2387 meV/atom
# Space-group type: P4/mbm, No. 127
# DOS at the Fermi energy: 0.92 states/eV/atom
# Density: 6.172 g/cm3
# Crystal system: tetragonal
data_NaCe2PdO5
_cell_length_a 6.7159
_cell_length_b 6.7159
_cell_length_c 5.8414
_cell_angle_alpha 90.00
_cell_angle_beta 90.00
_cell_angle_gamma 90.00
_space_group_name_H-M_alt 'P 1'
_space_group_IT_number 1
_space_group_name_Hall 'P 1'
loop_
_atom_site_label
_atom_site_fract_x
_atom_site_fract_y
_atom_site_fract_z
Na1 0.0000 0.0000 0.0000
Na2 0.5000 0.5000 0.0000
Ce1 0.1780 0.3220 0.5000
Ce2 0.3220 0.8220 0.5000
Ce3 0.6780 0.1780 0.5000
Ce4 0.8220 0.6780 0.5000
Pd1 0.0000 0.5000 0.0000
Pd2 0.5000 0.0000 0.0000
O1 0.0000 0.0000 0.5000
O2 0.1401 0.6401 0.2608
O3 0.1401 0.6401 0.7392
O4 0.3599 0.1401 0.2608
O5 0.3599 0.1401 0.7392
O6 0.5000 0.5000 0.5000
O7 0.6401 0.8599 0.2608
O8 0.6401 0.8599 0.7392
O9 0.8599 0.3599 0.2608
O10 0.8599 0.3599 0.7392


(11)
# Na3Ce3PdO8, optimized geometry, DFT PBE
# Raw formation energy: -2331 meV/atom
# Space-group type: C2/m, No. 12
# DOS at the Fermi energy: 0.29 states/eV/atom
# Density: 5.119 g/cm3
# Crystal system: monoclinic
data_Na3Ce3PdO8
_cell_length_a 6.8045
_cell_length_b 6.8045
_cell_length_c 6.9289
_cell_angle_alpha 119.22
_cell_angle_beta 119.22
_cell_angle_gamma 63.26
_space_group_name_H-M_alt 'P 1'
_space_group_IT_number 1
_space_group_name_Hall 'P 1'
loop_
_atom_site_label
_atom_site_fract_x
_atom_site_fract_y
_atom_site_fract_z
Na1 0.0000 0.0000 0.0000
Na2 0.0000 0.5000 0.5000
Na3 0.5000 0.0000 0.5000
Ce1 0.0000 0.5000 0.0000
Ce2 0.5000 0.0000 0.0000
Ce3 0.5000 0.5000 0.5000
Pd1 0.0000 0.0000 0.5000
O1 0.2279 0.2279 0.7710
O2 0.2555 0.2555 0.2319
O3 0.2604 0.7018 0.2513
O4 0.2982 0.7396 0.7487
O5 0.7018 0.2604 0.2513
O6 0.7396 0.2982 0.7487
O7 0.7445 0.7445 0.7681
O8 0.7721 0.7721 0.2290


(12)
# NaCePdO4, optimized geometry, DFT PBE
# Raw formation energy: -1842 meV/atom
# Space-group type: Imma, No. 74
# DOS at the Fermi energy: 0.04 states/eV/atom
# Density: 5.216 g/cm3
# Crystal system: orthorhombic
data_NaCePdO4
_cell_length_a 6.7070
_cell_length_b 6.7070
_cell_length_c 6.7070
_cell_angle_alpha 123.62
_cell_angle_beta 116.32
_cell_angle_gamma 90.17
_space_group_name_H-M_alt 'P 1'
_space_group_IT_number 1
_space_group_name_Hall 'P 1'
loop_
_atom_site_label
_atom_site_fract_x
_atom_site_fract_y
_atom_site_fract_z
Na1 0.3903 0.1403 0.2500
Na2 0.6097 0.8597 0.7500
Ce1 0.0000 0.5000 0.5000
Ce2 0.5000 0.5000 0.0000
Pd1 0.0000 0.0000 0.5000
Pd2 0.0000 0.5000 0.0000
O1 0.1863 0.7439 0.4424
O2 0.1984 0.2561 0.9424
O3 0.2556 0.2915 0.5359
O4 0.2556 0.7196 0.9641
O5 0.7444 0.2804 0.0359
O6 0.7444 0.7085 0.4641
O7 0.8016 0.7439 0.0576
O8 0.8137 0.2561 0.5576


Repeat the tenth record exactly.
# NaCe2PdO5, optimized geometry, DFT PBE
# Raw formation energy: -2387 meV/atom
# Space-group type: P4/mbm, No. 127
# DOS at the Fermi energy: 0.92 states/eV/atom
# Density: 6.172 g/cm3
# Crystal system: tetragonal
data_NaCe2PdO5
_cell_length_a 6.7159
_cell_length_b 6.7159
_cell_length_c 5.8414
_cell_angle_alpha 90.00
_cell_angle_beta 90.00
_cell_angle_gamma 90.00
_space_group_name_H-M_alt 'P 1'
_space_group_IT_number 1
_space_group_name_Hall 'P 1'
loop_
_atom_site_label
_atom_site_fract_x
_atom_site_fract_y
_atom_site_fract_z
Na1 0.0000 0.0000 0.0000
Na2 0.5000 0.5000 0.0000
Ce1 0.1780 0.3220 0.5000
Ce2 0.3220 0.8220 0.5000
Ce3 0.6780 0.1780 0.5000
Ce4 0.8220 0.6780 0.5000
Pd1 0.0000 0.5000 0.0000
Pd2 0.5000 0.0000 0.0000
O1 0.0000 0.0000 0.5000
O2 0.1401 0.6401 0.2608
O3 0.1401 0.6401 0.7392
O4 0.3599 0.1401 0.2608
O5 0.3599 0.1401 0.7392
O6 0.5000 0.5000 0.5000
O7 0.6401 0.8599 0.2608
O8 0.6401 0.8599 0.7392
O9 0.8599 0.3599 0.2608
O10 0.8599 0.3599 0.7392


> Look up the density of the fifth one.

4.604 g/cm3